Entry 1:
# KTiAl2, optimized geometry, DFT PBE-GGA
# Energy of formation from the pure elements, eV per atom: 0.588
# Magnetic moment, Bohr magnetons per cell: 0.00
# E_tot, eV/cell: -56.50
data_KTiAl2
_chemical_formula_sum 'K4 Ti4 Al8'
_cell_length_a 7.0445
_cell_length_b 7.0445
_cell_length_c 7.0445
_cell_angle_alpha 90.00
_cell_angle_beta 90.00
_cell_angle_gamma 90.00
_symmetry_space_group_name_H-M 'F m -3 m'
_symmetry_Int_Tables_number 225
_symmetry_space_group_name_Hall '-F 4 2 3'
loop_
_atom_site_label
_atom_site_fract_x
_atom_site_fract_y
_atom_site_fract_z
K1 0.0000 0.0000 0.0000
Ti1 0.0000 0.0000 0.5000
Al1 0.2500 0.2500 0.2500

***

Entry 2:
# Sn2BiBr, optimized geometry, DFT PBE-GGA
# Raw formation energy, meV/atom: -20
# Magnetic moment, Bohr magnetons per cell: 0.00
# E_tot, eV/cell: -54.56
data_Sn2BiBr
_chemical_formula_sum 'Sn8 Bi4 Br4'
_cell_length_a 9.0739
_cell_length_b 9.0739
_cell_length_c 6.3007
_cell_angle_alpha 90.00
_cell_angle_beta 90.00
_cell_angle_gamma 90.00
_symmetry_space_group_name_H-M 'I -4 2 d'
_symmetry_Int_Tables_number 122
_symmetry_space_group_name_Hall 'I -4 2bw'
loop_
_atom_site_label
_atom_site_fract_x
_atom_site_fract_y
_atom_site_fract_z
Sn1 0.2220 0.7500 0.1250
Bi1 0.0000 0.0000 0.0000
Br1 0.0000 0.0000 0.5000